(1)
# LaTb6Ho4, relaxed, DFT PBE
data_LaTb6Ho4
_symmetry_space_group_name_H-M 'I -4 2 m'
_symmetry_Int_Tables_number 121
_symmetry_space_group_name_Hall 'I -4 2'
_cell_length_a 7.6730
_cell_length_b 7.6730
_cell_length_c 13.0432
_cell_angle_alpha 90.00
_cell_angle_beta 90.00
_cell_angle_gamma 90.00
loop_
_atom_site_label
_atom_site_fract_x
_atom_site_fract_y
_atom_site_fract_z
La1 0.0000 0.0000 0.0000
Tb1 0.0000 0.5000 0.0000
Tb2 0.2465 0.2465 0.1880
Ho1 0.1629 0.1629 0.4234
# Density of states at the Fermi level in states/eV/f.u.: 15.5
# Energy relative to the elements in eV per atom: 0.42
# Excess energy over the best structure of this formula in the dataset in meV/atom: 294

---

(2)
# La3Tb5Ho4, relaxed, DFT PBE
data_La3Tb5Ho4
_symmetry_space_group_name_H-M 'C 1 2/m 1'
_symmetry_Int_Tables_number 12
_cell_length_a 17.8837
_cell_length_b 5.7705
_cell_length_c 8.7904
_cell_angle_alpha 90.00
_cell_angle_beta 116.73
_cell_angle_gamma 90.00
loop_
_symmetry_equiv_pos_as_xyz
'x,y,z'
'-x,-y,-z'
'-x,y,-z'
'x,-y,z'
'x+1/2,y+1/2,z'
'-x+1/2,-y+1/2,-z'
'-x+1/2,y+1/2,-z'
'x+1/2,-y+1/2,z'
loop_
_atom_site_label
_atom_site_fract_x
_atom_site_fract_y
_atom_site_fract_z
La1 0.0000 0.0000 0.0000
La2 0.1844 0.5000 0.2274
Tb1 0.0000 0.5000 0.0000
Tb2 0.0931 0.0000 0.4396
Tb3 0.1614 0.0000 0.8894
Ho1 0.0361 0.5000 0.6968
Ho2 0.2077 0.5000 0.6485
# Density of states at the Fermi level in states/eV/f.u.: 17.5
# Energy relative to the elements in eV per atom: 0.27
# Excess energy over the best structure of this formula in the dataset in meV/atom: 241

---

(3)
# La12Tb5Ho2, relaxed, DFT PBE
data_La12Tb5Ho2
_symmetry_space_group_name_H-M 'C 1 2/m 1'
_symmetry_Int_Tables_number 12
_cell_length_a 19.5058
_cell_length_b 7.6511
_cell_length_c 10.0807
_cell_angle_alpha 90.00
_cell_angle_beta 117.34
_cell_angle_gamma 90.00
loop_
_symmetry_equiv_pos_as_xyz
'x,y,z'
'-x,-y,-z'
'-x,y,-z'
'x,-y,z'
'x+1/2,y+1/2,z'
'-x+1/2,-y+1/2,-z'
'-x+1/2,y+1/2,-z'
'x+1/2,-y+1/2,z'
loop_
_atom_site_label
_atom_site_fract_x
_atom_site_fract_y
_atom_site_fract_z
La1 0.0004 0.0000 0.2059
La2 0.0151 0.5000 0.3476
La3 0.1598 0.2491 0.8453
La4 0.1649 0.2312 0.4947
Tb1 0.0000 0.0000 0.5000
Tb2 0.1735 0.0000 0.1667
Tb3 0.1776 0.5000 0.1917
Ho1 0.0000 0.3019 0.0000
# Density of states at the Fermi level in states/eV/f.u.: 31.3
# Energy relative to the elements in eV per atom: 0.15
# Excess energy over the best structure of this formula in the dataset in meV/atom: 31

---

(4)
# La4Tb4Ho, relaxed, DFT PBE
data_La4Tb4Ho
_symmetry_space_group_name_H-M 'I -4 2 m'
_symmetry_Int_Tables_number 121
_symmetry_space_group_name_Hall 'I -4 2'
_cell_length_a 5.4971
_cell_length_b 5.4971
_cell_length_c 23.5282
_cell_angle_alpha 90.00
_cell_angle_beta 90.00
_cell_angle_gamma 90.00
loop_
_atom_site_label
_atom_site_fract_x
_atom_site_fract_y
_atom_site_fract_z
La1 0.0000 0.0000 0.2481
La2 0.0000 0.5000 0.0000
Tb1 0.2489 0.2489 0.8726
Ho1 0.0000 0.0000 0.5000
# Density of states at the Fermi level in states/eV/f.u.: 21.4
# Energy relative to the elements in eV per atom: 0.75
# Excess energy over the best structure of this formula in the dataset in meV/atom: 725

---

(5)
# La4TbHo4, relaxed, DFT PBE
data_La4TbHo4
_symmetry_space_group_name_H-M 'I -4 2 m'
_symmetry_Int_Tables_number 121
_symmetry_space_group_name_Hall 'I -4 2'
_cell_length_a 6.1069
_cell_length_b 6.1069
_cell_length_c 19.5984
_cell_angle_alpha 90.00
_cell_angle_beta 90.00
_cell_angle_gamma 90.00
loop_
_atom_site_label
_atom_site_fract_x
_atom_site_fract_y
_atom_site_fract_z
La1 0.0000 0.0000 0.1435
La2 0.0000 0.5000 0.0000
Tb1 0.0000 0.0000 0.0000
Ho1 0.1804 0.1804 0.2956
# Density of states at the Fermi level in states/eV/f.u.: 13.6
# Energy relative to the elements in eV per atom: 0.71
# Excess energy over the best structure of this formula in the dataset in meV/atom: 677

---

(6)
# La7Tb16Ho6, relaxed, DFT PBE
data_La7Tb16Ho6
_symmetry_space_group_name_H-M 'F m -3 m'
_symmetry_Int_Tables_number 225
_symmetry_space_group_name_Hall '-F 4 2 3'
_cell_length_a 16.0114
_cell_length_b 16.0114
_cell_length_c 16.0114
_cell_angle_alpha 90.00
_cell_angle_beta 90.00
_cell_angle_gamma 90.00
loop_
_atom_site_label
_atom_site_fract_x
_atom_site_fract_y
_atom_site_fract_z
La1 0.0000 0.0000 0.0000
La2 0.0000 0.2500 0.2500
Tb1 0.1301 0.1301 0.1301
Tb2 0.1505 0.1505 0.3495
Ho1 0.0000 0.0000 0.2523
# Density of states at the Fermi level in states/eV/f.u.: 53.8
# Energy relative to the elements in eV per atom: 0.27

---

The lowest density of states at the Fermi level belongs to which entry?
La4TbHo4